1.
BaPPbS2 | PBE | relaxed

Cell: 5.806 5.806 5.643 Å, 90.00 90.00 90.00°
Element x y z (fractional)
Ba 0.000 0.000 0.000
P 0.000 0.000 0.500
Pb 0.500 0.500 0.500
S 0.000 0.500 0.000
S 0.500 0.000 0.000

Summary:
ΔE_f (raw)	240	kJ/mol of formula units
E above lowest polymorph	805.0	meV per atom
density of states at the Fermi level	5.66	states/eV/f.u.
spin magnetization	1.7	μB/f.u.

=====

2.
Zr2OsPb | PBE | relaxed

Cell: 4.106 4.106 9.701 Å, 90.00 90.00 90.00°
Element x y z (fractional)
Zr 0.000 0.000 0.000
Zr 0.000 0.500 0.250
Zr 0.500 0.000 0.750
Zr 0.500 0.500 0.500
Os 0.000 0.500 0.750
Os 0.500 0.000 0.250
Pb 0.000 0.000 0.500
Pb 0.500 0.500 0.000

Summary:
formation enthalpy at 0 K	0.002	eV per atom
density of states at the Fermi level	3.51	states/eV/f.u.
spin magnetization	0.0	μB/f.u.

=====

3.
SrScRe2Mo | PBE | relaxed

Cell: 4.803 4.803 5.194 Å, 90.00 90.00 90.00°
Element x y z (fractional)
Sr 0.000 0.000 0.000
Sc 0.500 0.500 0.000
Re 0.000 0.500 0.500
Re 0.500 0.000 0.500
Mo 0.000 0.000 0.500

Summary:
formation enthalpy at 0 K	1.505	eV per atom
density of states at the Fermi level	8.05	states/eV/f.u.
spin magnetization	0.0	μB/f.u.

=====

4.
NaAs3F | PBE | relaxed

Cell: 4.967 4.967 4.967 Å, 90.00 90.00 90.00°
Element x y z (fractional)
Na 0.000 0.000 0.000
As 0.000 0.000 0.500
As 0.000 0.500 0.000
As 0.500 0.000 0.000
F 0.500 0.500 0.500

Summary:
ΔE_f (raw)	445	kJ/mol of formula units
E above lowest polymorph	870.7	meV per atom
density of states at the Fermi level	4.31	states/eV/f.u.
spin magnetization	0.0	μB/f.u.

=====

5.
PmLuBeAl | PBE | relaxed

Cell: 7.067 7.067 7.067 Å, 90.00 90.00 90.00°
Element x y z (fractional)
Pm 0.000 0.000 0.000
Pm 0.000 0.500 0.500
Pm 0.500 0.000 0.500
Pm 0.500 0.500 0.000
Lu 0.000 0.000 0.500
Lu 0.000 0.500 0.000
Lu 0.500 0.000 0.000
Lu 0.500 0.500 0.500
Be 0.250 0.250 0.750
Be 0.250 0.750 0.250
Be 0.750 0.250 0.250
Be 0.750 0.750 0.750
Al 0.250 0.250 0.250
Al 0.250 0.750 0.750
Al 0.750 0.250 0.750
Al 0.750 0.750 0.250

Summary:
formation enthalpy at 0 K	-0.100	eV per atom
density of states at the Fermi level	3.08	states/eV/f.u.
spin magnetization	0.0	μB/f.u.

=====

6.
Li2CdIn5Sn | PBE | relaxed

Cell: 7.039 7.039 8.818 Å, 90.00 90.00 90.00°
Element x y z (fractional)
Li 0.131 0.369 0.000
Li 0.369 0.869 0.000
Li 0.631 0.131 0.000
Li 0.869 0.631 0.000
Cd 0.000 0.500 0.500
Cd 0.500 0.000 0.500
In 0.000 0.000 0.000
In 0.194 0.694 0.250
In 0.194 0.694 0.750
In 0.306 0.194 0.250
In 0.306 0.194 0.750
In 0.500 0.500 0.000
In 0.694 0.806 0.250
In 0.694 0.806 0.750
In 0.806 0.306 0.250
In 0.806 0.306 0.750
Sn 0.000 0.000 0.500
Sn 0.500 0.500 0.500

Summary:
formation enthalpy at 0 K	-0.022	eV per atom
density of states at the Fermi level	4.51	states/eV/f.u.
spin magnetization	0.0	μB/f.u.

=====

7.
MgAsS2Cl | PBE | relaxed

Cell: 4.875 4.875 4.763 Å, 90.00 90.00 90.00°
Element x y z (fractional)
Mg 0.000 0.000 0.000
As 0.500 0.500 0.500
S 0.000 0.500 0.500
S 0.500 0.000 0.500
Cl 0.500 0.500 0.000

Summary:
ΔE_f (raw)	-41	kJ/mol of formula units
E above lowest polymorph	0.0	meV per atom
density of states at the Fermi level	0.80	states/eV/f.u.
spin magnetization	0.0	μB/f.u.

=====

8.
Y2TiAs | PBE | relaxed

Cell: 7.194 7.194 7.194 Å, 90.00 90.00 90.00°
Element x y z (fractional)
Y 0.250 0.250 0.250
Y 0.250 0.250 0.750
Y 0.250 0.750 0.250
Y 0.250 0.750 0.750
Y 0.750 0.250 0.250
Y 0.750 0.250 0.750
Y 0.750 0.750 0.250
Y 0.750 0.750 0.750
Ti 0.000 0.000 0.000
Ti 0.000 0.500 0.500
Ti 0.500 0.000 0.500
Ti 0.500 0.500 0.000
As 0.000 0.000 0.500
As 0.000 0.500 0.000
As 0.500 0.000 0.000
As 0.500 0.500 0.500

Summary:
formation enthalpy at 0 K	-0.194	eV per atom
E above lowest polymorph	0.0	meV per atom
density of states at the Fermi level	4.59	states/eV/f.u.
spin magnetization	2.9	μB/f.u.

=====

9.
Zr2RuSe | PBE | relaxed

Cell: 5.966 7.440 3.316 Å, 90.00 91.30 90.00°
Element x y z (fractional)
Zr 0.250 0.250 0.000
Zr 0.250 0.750 0.000
Zr 0.750 0.250 0.000
Zr 0.750 0.750 0.000
Ru 0.000 0.000 0.500
Ru 0.500 0.500 0.500
Se 0.000 0.500 0.500
Se 0.500 0.000 0.500

Summary:
ΔE_f (raw)	-227	kJ/mol of formula units
density of states at the Fermi level	3.08	states/eV/f.u.
spin magnetization	0.0	μB/f.u.

=====

10.
LiTm8Bi6 | PBE | relaxed

Cell: 9.299 9.299 9.299 Å, 52.97 52.97 52.97°
Element x y z (fractional)
Li 0.000 0.000 0.000
Tm 0.128 0.424 0.814
Tm 0.186 0.872 0.576
Tm 0.334 0.334 0.334
Tm 0.424 0.814 0.128
Tm 0.576 0.186 0.872
Tm 0.666 0.666 0.666
Tm 0.814 0.128 0.424
Tm 0.872 0.576 0.186
Bi 0.065 0.719 0.423
Bi 0.281 0.577 0.935
Bi 0.423 0.065 0.719
Bi 0.577 0.935 0.281
Bi 0.719 0.423 0.065
Bi 0.935 0.281 0.577

Summary:
formation enthalpy at 0 K	-0.394	eV per atom
density of states at the Fermi level	15.34	states/eV/f.u.
spin magnetization	0.0	μB/f.u.

=====

11.
SrMn2V | PBE | relaxed

Cell: 5.130 5.130 15.738 Å, 90.00 90.00 90.00°
Element x y z (fractional)
Sr 0.000 0.250 0.375
Sr 0.000 0.750 0.625
Sr 0.500 0.250 0.125
Sr 0.500 0.750 0.875
Mn 0.000 0.000 0.000
Mn 0.000 0.500 0.000
Mn 0.250 0.250 0.750
Mn 0.250 0.750 0.250
Mn 0.500 0.000 0.500
Mn 0.500 0.500 0.500
Mn 0.750 0.250 0.750
Mn 0.750 0.750 0.250
V 0.000 0.250 0.875
V 0.000 0.750 0.125
V 0.500 0.250 0.625
V 0.500 0.750 0.375

Summary:
formation enthalpy at 0 K	0.821	eV per atom
E above lowest polymorph	104.0	meV per atom
density of states at the Fermi level	3.32	states/eV/f.u.
spin magnetization	4.3	μB/f.u.

=====

12.
AlSb2Pt | PBE | relaxed

Cell: 7.001 7.001 7.001 Å, 90.00 90.00 90.00°
Element x y z (fractional)
Al 0.000 0.000 0.000
Al 0.000 0.500 0.500
Al 0.500 0.000 0.500
Al 0.500 0.500 0.000
Sb 0.000 0.000 0.500
Sb 0.000 0.500 0.000
Sb 0.250 0.250 0.750
Sb 0.250 0.750 0.250
Sb 0.500 0.000 0.000
Sb 0.500 0.500 0.500
Sb 0.750 0.250 0.250
Sb 0.750 0.750 0.750
Pt 0.250 0.250 0.250
Pt 0.250 0.750 0.750
Pt 0.750 0.250 0.750
Pt 0.750 0.750 0.250

Summary:
ΔE_f (raw)	64	kJ/mol of formula units
density of states at the Fermi level	1.43	states/eV/f.u.
spin magnetization	0.0	μB/f.u.